(P)
Material: HoHgSO
Method: DFT, PBE-GGA
State: relaxed

Unit cell a=4.5661 b=8.5767 c=5.2641 alpha=90.00 beta=90.00 gamma=90.00
Fractional positions:
Ho  0.0000  0.1410  0.0000
Ho  0.0000  0.8590  0.5000
Hg  0.5000  0.3096  0.5665
Hg  0.5000  0.6904  0.0665
S  0.5000  0.3052  0.0727
S  0.5000  0.6948  0.5727
O  0.0000  0.0886  0.6164
O  0.0000  0.9114  0.1164

Results
For the total magnetization, the calculation gives 0.00 μB/atom.

(Q)
Material: HoHgSO
Method: DFT, PBE-GGA
State: relaxed

Unit cell a=7.0054 b=7.2160 c=6.5702 alpha=90.00 beta=93.51 gamma=90.00
Fractional positions:
Ho  0.0185  0.1396  0.2937
Ho  0.0185  0.3604  0.7937
Ho  0.9815  0.6396  0.2063
Ho  0.9815  0.8604  0.7063
Hg  0.4838  0.6872  0.9960
Hg  0.4838  0.8128  0.4960
Hg  0.5162  0.1872  0.5040
Hg  0.5162  0.3128  0.0040
S  0.2480  0.0701  0.9537
S  0.2480  0.4299  0.4537
S  0.7520  0.5701  0.5463
S  0.7520  0.9299  0.0463
O  0.1017  0.6426  0.9093
O  0.1017  0.8574  0.4093
O  0.8983  0.1426  0.5907
O  0.8983  0.3574  0.0907

Results
For the total magnetization, the calculation gives 0.00 μB/atom.

Relative calculated energies, zero for the most stable structure, unit meV per atom: (P) 128; (Q) 0.

(P)
Material: HoHgSO
Method: DFT, PBE-GGA
State: relaxed

Unit cell a=3.9213 b=3.9213 c=9.9422 alpha=90.00 beta=90.00 gamma=90.00
Fractional positions:
Ho  0.2500  0.2500  0.1095
Ho  0.7500  0.7500  0.8905
Hg  0.2500  0.7500  0.5000
Hg  0.7500  0.2500  0.5000
S  0.2500  0.2500  0.7408
S  0.7500  0.7500  0.2592
O  0.2500  0.7500  0.0000
O  0.7500  0.2500  0.0000

Results
For the total magnetization, the calculation gives 0.09 μB/atom.

(Q)
Material: HoHgSO
Method: DFT, PBE-GGA
State: relaxed

Unit cell a=7.9547 b=8.6261 c=5.3177 alpha=90.00 beta=90.00 gamma=90.00
Fractional positions:
Ho  0.0676  0.1681  0.0000
Ho  0.4324  0.1681  0.5000
Ho  0.5676  0.8319  0.0000
Ho  0.9324  0.8319  0.5000
Hg  0.1628  0.6108  0.9161
Hg  0.3372  0.6108  0.4161
Hg  0.6628  0.3892  0.9161
Hg  0.8372  0.3892  0.4161
S  0.1004  0.1114  0.5018
S  0.3996  0.1114  0.0018
S  0.6004  0.8886  0.5018
S  0.8996  0.8886  0.0018
O  0.0210  0.3960  0.0409
O  0.4790  0.3960  0.5409
O  0.5210  0.6040  0.0409
O  0.9790  0.6040  0.5409

Results
For the total magnetization, the calculation gives 0.00 μB/atom.

Relative calculated energies, zero for the most stable structure, unit meV per atom: (P) 0; (Q) 330.

(P)
Material: HoHgSeO
Method: DFT, PBE-GGA
State: relaxed

Unit cell a=7.5107 b=7.0770 c=6.8163 alpha=90.00 beta=90.81 gamma=90.00
Fractional positions:
Ho  0.0449  0.1434  0.1913
Ho  0.0449  0.3566  0.6913
Ho  0.9551  0.6434  0.3087
Ho  0.9551  0.8566  0.8087
Hg  0.4827  0.1892  0.0093
Hg  0.4827  0.3108  0.5093
Hg  0.5173  0.6892  0.4907
Hg  0.5173  0.8108  0.9907
Se  0.2603  0.0227  0.5514
Se  0.2603  0.4773  0.0514
Se  0.7397  0.5227  0.9486
Se  0.7397  0.9773  0.4486
O  0.0556  0.6531  0.6054
O  0.0556  0.8469  0.1054
O  0.9444  0.1531  0.8946
O  0.9444  0.3469  0.3946

Results
For the total magnetization, the calculation gives 0.00 μB/atom.

(Q)
Material: HoHgSeO
Method: DFT, PBE-GGA
State: relaxed

Unit cell a=4.6949 b=8.8687 c=5.5058 alpha=90.00 beta=90.00 gamma=90.00
Fractional positions:
Ho  0.0000  0.1346  0.0000
Ho  0.0000  0.8654  0.5000
Hg  0.5000  0.3048  0.5835
Hg  0.5000  0.6952  0.0835
Se  0.5000  0.3070  0.0887
Se  0.5000  0.6930  0.5887
O  0.0000  0.0801  0.6382
O  0.0000  0.9199  0.1382

Results
For the total magnetization, the calculation gives 0.00 μB/atom.

Relative calculated energies, zero for the most stable structure, unit meV per atom: (P) 0; (Q) 128.

(P)
Material: HoHgTeO
Method: DFT, PBE-GGA
State: relaxed

Unit cell a=4.1022 b=4.1022 c=10.5658 alpha=90.00 beta=90.00 gamma=90.00
Fractional positions:
Ho  0.2500  0.2500  0.0940
Ho  0.7500  0.7500  0.9060
Hg  0.2500  0.7500  0.5000
Hg  0.7500  0.2500  0.5000
Te  0.2500  0.2500  0.7401
Te  0.7500  0.7500  0.2599
O  0.2500  0.7500  0.0000
O  0.7500  0.2500  0.0000

Results
For the total magnetization, the calculation gives 0.00 μB/atom.

(Q)
Material: HoHgTeO
Method: DFT, PBE-GGA
State: relaxed

Unit cell a=4.8931 b=9.1632 c=5.8578 alpha=90.00 beta=90.00 gamma=90.00
Fractional positions:
Ho  0.0000  0.1257  0.0000
Ho  0.0000  0.8743  0.5000
Hg  0.5000  0.3017  0.6124
Hg  0.5000  0.6983  0.1124
Te  0.5000  0.3117  0.1168
Te  0.5000  0.6883  0.6168
O  0.0000  0.0706  0.6628
O  0.0000  0.9294  0.1628

Results
For the total magnetization, the calculation gives 0.00 μB/atom.

(R)
Material: HoHgTeO
Method: DFT, PBE-GGA
State: relaxed

Unit cell a=7.8214 b=6.9712 c=7.4436 alpha=90.00 beta=98.93 gamma=90.00
Fractional positions:
Ho  0.0162  0.1640  0.3395
Ho  0.0162  0.3360  0.8395
Ho  0.9838  0.6640  0.1605
Ho  0.9838  0.8360  0.6605
Hg  0.4912  0.1870  0.5532
Hg  0.4912  0.3130  0.0532
Hg  0.5088  0.6870  0.9468
Hg  0.5088  0.8130  0.4468
Te  0.2651  0.5305  0.5692
Te  0.2651  0.9695  0.0692
Te  0.7349  0.0305  0.9308
Te  0.7349  0.4695  0.4308
O  0.0566  0.1290  0.6313
O  0.0566  0.3710  0.1313
O  0.9434  0.6290  0.8687
O  0.9434  0.8710  0.3687

Results
For the total magnetization, the calculation gives 0.00 μB/atom.

Relative calculated energies, zero for the most stable structure, unit meV per atom: (P) 0; (Q) 134; (R) 24.

(P)
Material: TbHoHg
Method: DFT, PBE-GGA
State: relaxed

Unit cell a=5.0876 b=5.0876 c=5.0876 alpha=60.00 beta=60.00 gamma=60.00
Fractional positions:
Tb  0.0000  0.0000  0.0000
Ho  0.5000  0.5000  0.5000
Hg  0.7500  0.7500  0.7500

Results
For the total magnetization, the calculation gives 0.00 μB/atom.

(Q)
Material: TbHoHg
Method: DFT, PBE-GGA
State: relaxed

Unit cell a=7.0822 b=5.0807 c=9.1980 alpha=90.00 beta=90.00 gamma=90.00
Fractional positions:
Tb  0.0154  0.2500  0.1934
Tb  0.4846  0.7500  0.6934
Tb  0.5154  0.2500  0.3066
Tb  0.9846  0.7500  0.8066
Ho  0.1680  0.2500  0.5750
Ho  0.3320  0.7500  0.0750
Ho  0.6680  0.2500  0.9250
Ho  0.8320  0.7500  0.4250
Hg  0.2398  0.2500  0.8987
Hg  0.2602  0.7500  0.3987
Hg  0.7398  0.2500  0.6013
Hg  0.7602  0.7500  0.1013

Results
For the total magnetization, the calculation gives 0.00 μB/atom.

Relative calculated energies, zero for the most stable structure, unit meV per atom: (P) 249; (Q) 0.

(P)
Material: HoTmHg6
Method: DFT, PBE-GGA
State: relaxed

Unit cell a=6.5780 b=6.5780 c=4.9828 alpha=90.00 beta=90.00 gamma=120.00
Fractional positions:
Ho  0.0000  0.0000  0.0000
Tm  0.3333  0.6667  0.5000
Hg  0.0012  0.5006  0.0000
Hg  0.3331  0.1666  0.5000
Hg  0.4994  0.5006  0.0000
Hg  0.4994  0.9988  0.0000
Hg  0.8334  0.1666  0.5000
Hg  0.8334  0.6669  0.5000

Results
For the total magnetization, the calculation gives 0.00 μB/atom.

(Q)
Material: HoTmHg6
Method: DFT, PBE-GGA
State: relaxed

Unit cell a=4.8434 b=6.4696 c=6.4696 alpha=66.38 beta=90.00 gamma=90.00
Fractional positions:
Ho  0.0000  0.0000  0.0000
Tm  0.5000  0.7164  0.7164
Hg  0.0000  0.0331  0.4963
Hg  0.0000  0.4963  0.0331
Hg  0.0000  0.5327  0.5327
Hg  0.5000  0.1849  0.1849
Hg  0.5000  0.2208  0.6808
Hg  0.5000  0.6808  0.2208

Results
For the total magnetization, the calculation gives 0.00 μB/atom.

Relative calculated energies, zero for the most stable structure, unit meV per atom: (P) 0; (Q) 10.